Cs2MnN | PBE | relaxed

Values from the calculation:
As for the energy relative to the elements, uncorrected: 1628.4 meV per atom. For the energy above the lowest structure with this stoichiometry, the calculation gives 1.443 eV/atom. The final energy is -12.69 eV for the cell shown.

abc: 5.1661 5.1661 5.1661
angles: 60.00 60.00 60.00
Last column: nearest neighbours and their distance in Å.
Atoms (fractional coordinates):
Cs (0.2500, 0.2500, 0.2500)  4 Mn 3.16, 4 N 3.16
Cs (0.7500, 0.7500, 0.7500)  4 Mn 3.16, 4 N 3.16
Mn (0.0000, 0.0000, 0.0000)  8 Cs 3.16
N (0.5000, 0.5000, 0.5000)  8 Cs 3.16

***

LiSmEuPd | PBE | relaxed

Values from the calculation:
For the calculated formation energy, the calculation gives -0.3074 eV per atom. The final energy is -23.33 eV for the cell shown.

abc: 5.1766 5.1766 5.1766
angles: 60.00 60.00 60.00
Last column: nearest neighbours and their distance in Å.
Atoms (fractional coordinates):
Li (0.0000, 0.0000, 0.0000)  4 Eu 3.17, 4 Sm 3.17
Sm (0.2500, 0.2500, 0.2500)  4 Li 3.17, 4 Pd 3.17
Eu (0.7500, 0.7500, 0.7500)  4 Li 3.17, 4 Pd 3.17
Pd (0.5000, 0.5000, 0.5000)  4 Sm 3.17, 4 Eu 3.17

***

TbPr4Er2Mg | PBE | relaxed

Values from the calculation:
For the calculated formation energy, the calculation gives 0.0444 eV per atom. The final energy is -34.11 eV for the cell shown.

abc: 5.8029 5.8029 7.7807
angles: 90.00 90.00 90.00
Last column: nearest neighbours and their distance in Å.
Atoms (fractional coordinates):
Tb (0.0000, 0.0000, 0.0000)  8 Pr 3.54, 2 Er 3.89
Pr (0.0000, 0.5000, 0.2605)  2 Mg 3.45, 4 Er 3.45-3.54, 2 Tb 3.54, 1 Pr 3.73
Pr (0.0000, 0.5000, 0.7395)  2 Mg 3.45, 4 Er 3.45-3.54, 2 Tb 3.54, 1 Pr 3.73
Pr (0.5000, 0.0000, 0.2605)  2 Mg 3.45, 4 Er 3.45-3.54, 2 Tb 3.54, 1 Pr 3.73
Pr (0.5000, 0.0000, 0.7395)  2 Mg 3.45, 4 Er 3.45-3.54, 2 Tb 3.54, 1 Pr 3.73
Er (0.0000, 0.0000, 0.5000)  8 Pr 3.45
Er (0.5000, 0.5000, 0.0000)  8 Pr 3.54, 2 Mg 3.89
Mg (0.5000, 0.5000, 0.5000)  8 Pr 3.45

***

Lu2MgIn | PBE | relaxed

Values from the calculation:
For the calculated formation energy, the calculation gives -0.2554 eV per atom. For the energy above the lowest structure with this stoichiometry, the calculation gives 0.013 eV/atom. The final energy is -14.40 eV for the cell shown.

abc: 3.7443 3.7443 7.2228
angles: 90.00 90.00 90.00
Last column: nearest neighbours and their distance in Å.
Atoms (fractional coordinates):
Lu (0.0000, 0.0000, 0.2479)  4 Mg 3.20, 4 In 3.21
Lu (0.0000, 0.0000, 0.7521)  4 Mg 3.20, 4 In 3.21
Mg (0.5000, 0.5000, 0.0000)  8 Lu 3.20
In (0.5000, 0.5000, 0.5000)  8 Lu 3.21

***

Ho9ErTm2 | PBE | relaxed

Values from the calculation:
For the calculated formation energy, the calculation gives 0.0231 eV per atom. For the energy above the lowest structure with this stoichiometry, the calculation gives 0.000 eV/atom. The final energy is -54.43 eV for the cell shown.

abc: 4.9630 4.9630 14.8898
angles: 90.00 90.00 90.00
Last column: nearest neighbours and their distance in Å.
Atoms (fractional coordinates):
Ho (0.0000, 0.0000, 0.0000)  4 Er 3.51, 8 Ho 3.51
Ho (0.0000, 0.0000, 0.3336)  8 Ho 3.51, 4 Tm 3.51
Ho (0.0000, 0.0000, 0.6664)  8 Ho 3.51, 4 Tm 3.51
Ho (0.0000, 0.5000, 0.1669)  2 Tm 3.51, 8 Ho 3.51, 2 Er 3.51
Ho (0.0000, 0.5000, 0.5000)  8 Ho 3.51, 4 Tm 3.51
Ho (0.0000, 0.5000, 0.8331)  2 Tm 3.51, 8 Ho 3.51, 2 Er 3.51
Ho (0.5000, 0.0000, 0.1669)  2 Tm 3.51, 8 Ho 3.51, 2 Er 3.51
Ho (0.5000, 0.0000, 0.5000)  8 Ho 3.51, 4 Tm 3.51
Ho (0.5000, 0.0000, 0.8331)  2 Tm 3.51, 8 Ho 3.51, 2 Er 3.51
Er (0.5000, 0.5000, 0.0000)  12 Ho 3.51
Tm (0.5000, 0.5000, 0.3335)  12 Ho 3.51
Tm (0.5000, 0.5000, 0.6665)  12 Ho 3.51

***

MnTlTeSe | PBE | relaxed

Values from the calculation:
As for the energy relative to the elements, uncorrected: -330.0 meV per atom. The final energy is -19.48 eV for the cell shown.

abc: 3.9105 3.9105 8.2828
angles: 103.53 103.53 60.19
Last column: nearest neighbours and their distance in Å.
Atoms (fractional coordinates):
Mn (0.0000, 0.0000, 0.0000)  3 Se 2.61-2.62, 3 Te 2.78-2.79
Tl (0.1795, 0.1795, 0.5431)  3 Se 3.24-3.25, 3 Te 3.52
Te (0.4012, 0.4012, 0.2045)  3 Mn 2.78-2.79
Se (0.6119, 0.6119, 0.8350)  3 Mn 2.61-2.62

***

SrSi2Rh | PBE | relaxed

Values from the calculation:
As for the energy relative to the elements, uncorrected: 190.8 meV per atom. The final energy is -19.12 eV for the cell shown.

abc: 4.7404 4.7404 4.7404
angles: 60.00 60.00 60.00
Last column: nearest neighbours and their distance in Å.
Atoms (fractional coordinates):
Sr (0.0000, 0.0000, 0.0000)  4 Rh 2.90, 4 Si 2.90
Si (0.2500, 0.2500, 0.2500)  4 Sr 2.90, 4 Si 2.90
Si (0.5000, 0.5000, 0.5000)  4 Rh 2.90, 4 Si 2.90
Rh (0.7500, 0.7500, 0.7500)  4 Sr 2.90, 4 Si 2.90

***

CdIrRh2 | PBE | relaxed

Values from the calculation:
For the calculated formation energy, the calculation gives 0.0922 eV per atom. The final energy is -24.11 eV for the cell shown.

abc: 4.7853 4.7853 4.9305
angles: 99.40 99.40 34.07
Last column: nearest neighbours and their distance in Å.
Atoms (fractional coordinates):
Cd (0.0000, 0.0000, 0.0000)  6 Rh 2.78-2.87, 2 Cd 2.80, 4 Ir 2.84
Ir (0.5000, 0.5000, 0.5000)  6 Rh 2.70-2.78, 2 Ir 2.80, 4 Cd 2.84
Rh (0.2422, 0.2422, 0.7294)  6 Rh 2.69-3.00, 3 Ir 2.70-2.78, 3 Cd 2.78-2.87
Rh (0.7578, 0.7578, 0.2706)  6 Rh 2.69-3.00, 3 Ir 2.70-2.78, 3 Cd 2.78-2.87

***

PIrW2 | PBE | relaxed

Values from the calculation:
For the calculated formation energy, the calculation gives 0.4156 eV per atom. The final energy is -38.51 eV for the cell shown.

abc: 4.4105 4.4105 4.4105
angles: 60.00 60.00 60.00
Last column: nearest neighbours and their distance in Å.
Atoms (fractional coordinates):
P (0.0000, 0.0000, 0.0000)  4 Ir 2.70, 4 W 2.70
Ir (0.7500, 0.7500, 0.7500)  4 W 2.70, 4 P 2.70
W (0.2500, 0.2500, 0.2500)  4 W 2.70, 4 P 2.70
W (0.5000, 0.5000, 0.5000)  4 Ir 2.70, 4 W 2.70

***

DyHoCu4 | PBE | relaxed

Values from the calculation:
For the calculated formation energy, the calculation gives -0.2790 eV per atom. For the energy above the lowest structure with this stoichiometry, the calculation gives 0.000 eV/atom. The final energy is -27.24 eV for the cell shown.

abc: 5.4392 5.4392 5.4392
angles: 133.66 102.48 95.37
Last column: nearest neighbours and their distance in Å.
Atoms (fractional coordinates):
Dy (0.0000, 0.0000, 0.0000)  12 Cu 2.96-3.10
Ho (0.4116, 0.9116, 0.5000)  12 Cu 2.95-3.10
Cu (0.4221, 0.6199, 0.8022)  4 Cu 2.48-2.69
Cu (0.5924, 0.2907, 0.3017)  4 Cu 2.48-2.70
Cu (0.8178, 0.6199, 0.1978)  4 Cu 2.48-2.69
Cu (0.9890, 0.2907, 0.6983)  4 Cu 2.48-2.70

***

LaHo6Th3 | PBE | relaxed

Values from the calculation:
For the calculated formation energy, the calculation gives 0.1063 eV per atom. The final energy is -107.18 eV for the cell shown.

abc: 13.1695 3.5034 14.2367
angles: 90.00 97.41 90.00
Last column: nearest neighbours and their distance in Å.
Atoms (fractional coordinates):
La (0.1828, 0.2500, 0.3939)  3 Ho 3.40-3.59, 2 La 3.50, 4 Th 3.69-3.73
La (0.8172, 0.7500, 0.6061)  3 Ho 3.40-3.59, 2 La 3.50, 4 Th 3.69-3.73
Ho (0.0756, 0.7500, 0.6050)  3 Th 3.30-3.56, 1 La 3.40, 2 Ho 3.50
Ho (0.1292, 0.2500, 0.0212)  9 Ho 3.47-3.81, 3 Th 3.52-3.63
Ho (0.2474, 0.2500, 0.7954)  5 Th 3.47-3.71, 7 Ho 3.50-3.75
Ho (0.2745, 0.7500, 0.2017)  6 Ho 3.33-3.50, 3 Th 3.41-3.49, 2 La 3.59
Ho (0.3770, 0.7500, 0.9999)  7 Ho 3.33-3.68, 3 Th 3.41-3.56
Ho (0.4426, 0.7500, 0.4009)  5 Ho 3.36-3.50, 5 Th 3.42-3.55
Ho (0.5574, 0.2500, 0.5991)  5 Ho 3.36-3.50, 5 Th 3.42-3.55
Ho (0.6230, 0.2500, 0.0001)  7 Ho 3.33-3.68, 3 Th 3.41-3.56
Ho (0.7255, 0.2500, 0.7983)  6 Ho 3.33-3.50, 3 Th 3.41-3.49, 2 La 3.59
Ho (0.7526, 0.7500, 0.2046)  5 Th 3.47-3.71, 7 Ho 3.50-3.75
Ho (0.8708, 0.7500, 0.9788)  9 Ho 3.47-3.81, 3 Th 3.52-3.63
Ho (0.9244, 0.2500, 0.3950)  3 Th 3.30-3.56, 1 La 3.40, 2 Ho 3.50
Th (0.0158, 0.7500, 0.2049)  7 Ho 3.41-3.63, 2 Th 3.50, 2 La 3.69
Th (0.3257, 0.7500, 0.6019)  6 Ho 3.30-3.53, 3 Th 3.38-3.50
Th (0.4963, 0.7500, 0.8011)  3 Th 3.38-3.50, 9 Ho 3.41-3.71
Th (0.5037, 0.2500, 0.1989)  3 Th 3.38-3.50, 9 Ho 3.41-3.71
Th (0.6743, 0.2500, 0.3981)  6 Ho 3.30-3.53, 3 Th 3.38-3.50
Th (0.9842, 0.2500, 0.7951)  7 Ho 3.41-3.63, 2 Th 3.50, 2 La 3.69

***

HfMnFe2 | PBE | relaxed

Values from the calculation:
For the calculated formation energy, the calculation gives 0.4412 eV per atom. The final energy is -68.57 eV for the cell shown.

abc: 9.5574 9.5574 9.5574
angles: 158.10 158.10 31.16
Last column: nearest neighbours and their distance in Å.
Atoms (fractional coordinates):
Hf (0.0000, 0.0000, 0.0000)  4 Mn 2.57, 4 Fe 2.66
Hf (0.7500, 0.2500, 0.5000)  4 Mn 2.57, 4 Fe 2.66
Mn (0.2500, 0.7500, 0.5000)  4 Hf 2.57, 4 Fe 2.61
Mn (0.5000, 0.5000, 0.0000)  4 Hf 2.57, 4 Fe 2.61
Fe (0.1457, 0.6250, 0.0207)  4 Fe 2.46-2.68, 2 Mn 2.61, 2 Hf 2.66
Fe (0.3750, 0.3957, 0.5207)  4 Fe 2.46-2.68, 2 Mn 2.61, 2 Hf 2.66
Fe (0.6043, 0.1250, 0.9793)  4 Fe 2.46-2.68, 2 Mn 2.61, 2 Hf 2.66
Fe (0.8750, 0.8543, 0.4793)  4 Fe 2.46-2.68, 2 Mn 2.61, 2 Hf 2.66